! Ta2Fe2Ni15, optimized geometry, DFT PBE; values from VASP
&SYSTEM
  ibrav = 0, nat = 19, ntyp = 3
/
ATOMIC_SPECIES
Ta 180.95 Ta.upf
Fe 55.84 Fe.upf
Ni 58.69 Ni.upf
CELL_PARAMETERS angstrom
4.024 2.323 4.006
-4.024 2.323 4.006
0.000 -4.647 4.006
ATOMIC_POSITIONS angstrom
Ta 0.000 0.000 1.897
Ta 0.000 0.000 10.121
Fe 0.000 0.000 4.834
Fe 0.000 0.000 7.183
Ni -2.012 -1.162 4.006
Ni 0.000 -2.366 3.882
Ni -2.049 1.183 3.882
Ni -1.262 -2.186 6.009
Ni -2.524 0.000 6.009
Ni -2.049 -1.183 8.135
Ni -2.012 1.162 8.012
Ni 1.262 -2.186 6.009
Ni 0.000 2.323 4.006
Ni -1.262 2.186 6.009
Ni 2.049 1.183 3.883
Ni 2.524 0.000 6.009
Ni 1.262 2.186 6.009
Ni 2.049 -1.183 8.135
Ni 0.000 2.366 8.135
! - N(E_F) (states/eV/cell) = 20.48
! - spin magnetization (Bohr magnetons per cell) = 9.491
! - calculated volume (Å³ per cell) = 225
! - crystal system = trigonal
! - calculated total energy (eV/atom) = -6.73
! - space group = R-3m (166)



! TaFeNi, optimized geometry, DFT PBE; values from VASP
&SYSTEM
  ibrav = 0, nat = 6, ntyp = 3
/
ATOMIC_SPECIES
Ta 180.95 Ta.upf
Fe 55.84 Fe.upf
Ni 58.69 Ni.upf
CELL_PARAMETERS angstrom
-2.377 2.393 3.425
2.377 -2.393 3.425
2.377 2.393 -3.425
ATOMIC_POSITIONS angstrom
Ta 0.000 1.196 0.847
Ta 2.377 1.196 2.578
Fe 1.188 1.196 -1.712
Fe 1.188 -1.196 1.712
Ni 2.377 0.000 0.000
Ni 0.000 0.000 3.425
! - N(E_F) (states/eV/cell) = 6.51
! - spin magnetization (Bohr magnetons per cell) = 2.185
! - calculated volume (Å³ per cell) = 78
! - crystal system = orthorhombic
! - calculated total energy (eV/atom) = -8.90
! - excess energy over the best structure of this formula in the dataset (eV/atom) = 0.000
! - space group = Imma (74)



! TaFe2Ni6, optimized geometry, DFT PBE; values from VASP
&SYSTEM
  ibrav = 0, nat = 9, ntyp = 3
/
ATOMIC_SPECIES
Ta 180.95 Ta.upf
Fe 55.84 Fe.upf
Ni 58.69 Ni.upf
CELL_PARAMETERS angstrom
7.013 0.000 0.000
-3.507 6.074 0.000
0.000 0.000 2.549
ATOMIC_POSITIONS angstrom
Ta 0.000 0.000 0.000
Fe 0.000 4.049 1.275
Fe 3.507 2.025 1.275
Ni -1.257 2.177 0.000
Ni -2.382 4.126 1.275
Ni 1.124 1.947 1.275
Ni 2.514 0.000 0.000
Ni 2.250 3.896 0.000
Ni 4.764 0.000 1.275
! - N(E_F) (states/eV/cell) = 7.56
! - spin magnetization (Bohr magnetons per cell) = 7.079
! - calculated volume (Å³ per cell) = 109
! - crystal system = hexagonal
! - calculated total energy (eV/atom) = -7.05
! - space group = P-62m (189)



! Ta2FeNi6, optimized geometry, DFT PBE; values from VASP
&SYSTEM
  ibrav = 0, nat = 9, ntyp = 3
/
ATOMIC_SPECIES
Ta 180.95 Ta.upf
Fe 55.84 Fe.upf
Ni 58.69 Ni.upf
CELL_PARAMETERS angstrom
5.554 -1.799 0.000
5.554 1.799 0.000
-1.927 0.000 5.553
ATOMIC_POSITIONS angstrom
Ta 0.065 0.000 1.748
Ta 9.116 0.000 3.805
Fe 5.554 0.000 0.000
Ni 1.897 0.000 0.006
Ni 1.750 0.000 3.737
Ni 3.687 0.000 1.832
Ni 5.493 0.000 3.721
Ni 7.431 0.000 1.816
Ni 7.283 0.000 5.548
! - N(E_F) (states/eV/cell) = 7.45
! - spin magnetization (Bohr magnetons per cell) = 1.257
! - calculated volume (Å³ per cell) = 111
! - crystal system = monoclinic
! - calculated total energy (eV/atom) = -7.62
! - space group = C2/m (12)



! TaFeNi4, optimized geometry, DFT PBE; values from VASP
&SYSTEM
  ibrav = 0, nat = 6, ntyp = 3
/
ATOMIC_SPECIES
Ta 180.95 Ta.upf
Fe 55.84 Fe.upf
Ni 58.69 Ni.upf
CELL_PARAMETERS angstrom
0.000 3.314 3.314
3.314 0.000 3.314
3.314 3.314 0.000
ATOMIC_POSITIONS angstrom
Ta 0.000 0.000 0.000
Fe 1.657 1.657 1.657
Ni 4.140 2.489 2.489
Ni 2.489 4.140 2.489
Ni 2.489 2.489 4.140
Ni 4.140 4.140 4.140
! - N(E_F) (states/eV/cell) = 6.71
! - spin magnetization (Bohr magnetons per cell) = 3.151
! - calculated volume (Å³ per cell) = 73
! - crystal system = cubic
! - calculated total energy (eV/atom) = -7.40
! - excess energy over the best structure of this formula in the dataset (eV/atom) = 0.000
! - space group = F-43m (216)



! TaFe3Ni6, optimized geometry, DFT PBE; values from VASP
&SYSTEM
  ibrav = 0, nat = 20, ntyp = 3
/
ATOMIC_SPECIES
Ta 180.95 Ta.upf
Fe 55.84 Fe.upf
Ni 58.69 Ni.upf
CELL_PARAMETERS angstrom
8.128 0.000 0.000
0.000 3.577 0.000
-0.074 0.000 8.179
ATOMIC_POSITIONS angstrom
Ta 0.480 0.894 3.096
Ta 7.574 2.683 5.083
Fe 1.992 0.894 8.175
Fe 2.769 2.683 6.556
Fe 3.609 0.894 4.930
Fe 4.446 2.683 3.249
Fe 5.285 0.894 1.623
Fe 6.062 2.683 0.004
Ni 0.355 2.683 7.421
Ni 1.178 0.894 5.770
Ni 1.302 2.683 1.566
Ni 2.041 2.683 4.110
Ni 2.926 0.894 2.425
Ni 3.684 2.683 0.804
Ni 4.370 0.894 7.375
Ni 5.128 2.683 5.754
Ni 6.013 0.894 4.069
Ni 6.752 0.894 6.613
Ni 6.876 2.683 2.409
Ni 7.700 0.894 0.758
! - N(E_F) (states/eV/cell) = 18.63
! - spin magnetization (Bohr magnetons per cell) = 20.742
! - calculated volume (Å³ per cell) = 238
! - crystal system = monoclinic
! - calculated total energy (eV/atom) = -7.28
! - space group = P2_1/m (11)



! TaFeNi6, optimized geometry, DFT PBE; values from VASP
&SYSTEM
  ibrav = 0, nat = 32, ntyp = 3
/
ATOMIC_SPECIES
Ta 180.95 Ta.upf
Fe 55.84 Fe.upf
Ni 58.69 Ni.upf
CELL_PARAMETERS angstrom
3.615 -5.114 0.000
3.615 5.114 0.000
0.000 0.000 10.216
ATOMIC_POSITIONS angstrom
Ta 0.000 0.000 2.506
Ta 0.000 0.000 7.710
Ta 3.615 2.595 5.108
Ta 3.615 -2.595 5.108
Fe 3.615 2.594 0.000
Fe 3.615 0.000 2.487
Fe 3.615 0.000 7.729
Fe 3.615 -2.594 0.000
Ni 0.000 0.000 0.000
Ni 0.000 0.000 5.108
Ni 1.832 1.291 1.256
Ni 1.832 1.291 8.960
Ni 1.834 1.266 3.812
Ni 1.834 1.266 6.404
Ni 3.615 2.539 2.526
Ni 3.615 2.539 7.691
Ni 1.834 -1.266 3.812
Ni 1.834 -1.266 6.404
Ni 1.832 -1.291 1.256
Ni 1.832 -1.291 8.960
Ni 3.615 0.000 0.000
Ni 3.615 0.000 5.108
Ni 5.397 1.291 1.256
Ni 5.397 1.291 8.960
Ni 5.395 1.266 3.812
Ni 5.395 1.266 6.404
Ni 3.615 -2.539 2.526
Ni 3.615 -2.539 7.691
Ni 5.395 -1.266 3.812
Ni 5.395 -1.266 6.404
Ni 5.397 -1.291 1.256
Ni 5.397 -1.291 8.960
! - N(E_F) (states/eV/cell) = 10.83
! - spin magnetization (Bohr magnetons per cell) = 18.327
! - calculated volume (Å³ per cell) = 378
! - crystal system = orthorhombic
! - calculated total energy (eV/atom) = -7.07
! - excess energy over the best structure of this formula in the dataset (eV/atom) = 0.000
! - space group = Cmmm (65)



! TaFeNi, optimized geometry, DFT PBE; values from VASP
&SYSTEM
  ibrav = 0, nat = 3, ntyp = 3
/
ATOMIC_SPECIES
Ta 180.95 Ta.upf
Fe 55.84 Fe.upf
Ni 58.69 Ni.upf
CELL_PARAMETERS angstrom
-1.353 1.353 5.551
1.353 -1.353 5.551
1.353 1.353 -5.551
ATOMIC_POSITIONS angstrom
Ta 0.000 0.000 0.000
Fe 0.000 0.000 3.532
Ni 0.000 0.000 7.491
! - N(E_F) (states/eV/cell) = 2.83
! - spin magnetization (Bohr magnetons per cell) = 2.482
! - calculated volume (Å³ per cell) = 41
! - crystal system = tetragonal
! - calculated total energy (eV/atom) = -8.71
! - excess energy over the best structure of this formula in the dataset (eV/atom) = 0.193
! - space group = I4mm (107)